No. 1
! KCd2In4Ge (GGA-PBE, optimized geometry); values from VASP
&SYSTEM
  ibrav = 0, nat = 8, ntyp = 4
/
ATOMIC_SPECIES
K 39.10 K.upf
Cd 112.41 Cd.upf
In 114.82 In.upf
Ge 72.64 Ge.upf
CELL_PARAMETERS angstrom
2.5706 1.4841 10.0275
-2.5706 1.4841 10.0275
0.0000 -2.9682 10.0275
ATOMIC_POSITIONS crystal
K 0.0000 0.0000 0.0000
Cd 0.2512 0.2512 0.2512
Cd 0.7488 0.7488 0.7488
In 0.1351 0.1351 0.1351
In 0.4057 0.4057 0.4057
In 0.5943 0.5943 0.5943
In 0.8649 0.8649 0.8649
Ge 0.5000 0.5000 0.5000
! space group: R-3m, No. 166
! ΔE_f: -0.01 eV per atom
! size of the total moment: 0.000 μB/atom

---

No. 2
! LiCdInGe (GGA-PBE, optimized geometry); values from VASP
&SYSTEM
  ibrav = 0, nat = 4, ntyp = 4
/
ATOMIC_SPECIES
Li 6.94 Li.upf
Cd 112.41 Cd.upf
In 114.82 In.upf
Ge 72.64 Ge.upf
CELL_PARAMETERS angstrom
0.0000 3.4783 3.4783
3.4783 0.0000 3.4783
3.4783 3.4783 0.0000
ATOMIC_POSITIONS crystal
Li 0.0000 0.0000 0.0000
Cd 0.5000 0.5000 0.5000
In 0.2500 0.2500 0.2500
Ge 0.7500 0.7500 0.7500
! space group: F-43m, No. 216
! ΔE_f: -0.04 eV per atom
! size of the total moment: 0.000 μB/atom

---

No. 3
! Li2CdInGe (GGA-PBE, optimized geometry); values from VASP
&SYSTEM
  ibrav = 0, nat = 5, ntyp = 4
/
ATOMIC_SPECIES
Li 6.94 Li.upf
Cd 112.41 Cd.upf
In 114.82 In.upf
Ge 72.64 Ge.upf
CELL_PARAMETERS angstrom
4.9396 0.0000 0.0000
0.0000 4.9396 0.0000
0.0000 0.0000 5.4060
ATOMIC_POSITIONS crystal
Li 0.0000 0.5000 0.0000
Li 0.5000 0.0000 0.0000
Cd 0.0000 0.0000 0.5000
In 0.5000 0.5000 0.5000
Ge 0.5000 0.5000 0.0000
! space group: P4/mmm, No. 123
! ΔE_f: 0.05 eV per atom
! size of the total moment: 0.000 μB/atom